Record 1
# BaGa2WBr

A relaxed structure of BaGa2WBr (GGA-PBE, Alexandria).

abc: 5.483 5.987 5.483
angles: 90.00 90.00 90.00
Last column: magnetic moment on the atom in μB.
Fractional positions:
Ga1 0.000 0.000 0.500  -0.04
Ga2 0.500 0.000 0.000  -0.04
Br1 0.000 0.000 0.000  0.01
Ba1 0.000 0.500 0.000  0.00
W1 0.500 0.500 0.500  3.19

Computed properties:
N(E_F) = 2.736 states/eV per cell
VASP energy = -17.13 eV/cell
Magnetic moment = 4.13 μB per cell

Record 2
# Li4AcIr2

A relaxed structure of Li4AcIr2 (GGA-PBE, Alexandria).

abc: 4.317 4.301 7.365
angles: 106.98 90.00 90.00
Fractional positions:
Li1 0.500 0.810 0.619
Li2 0.000 0.685 0.369
Li3 0.500 0.190 0.381
Li4 0.000 0.315 0.631
Ac1 0.000 0.000 0.000
Ir1 0.500 0.589 0.178
Ir2 0.500 0.411 0.822

Computed properties:
N(E_F) = 2.037 states/eV per cell
Magnetic moment = 0.00 μB per cell
E_form = -1.47 eV/f.u.

Record 3
# Rb2BeGaF6

A relaxed structure of Rb2BeGaF6 (GGA-PBE, Alexandria).

abc: 5.691 5.691 6.023
angles: 61.81 61.81 90.00
Fractional positions:
Be1 0.500 0.500 0.000
Ga1 0.000 0.000 0.000
Rb1 0.750 0.250 0.500
Rb2 0.250 0.750 0.500
F1 0.228 0.228 0.544
F2 0.772 0.772 0.456
F3 0.289 0.289 0.000
F4 0.711 0.711 0.000
F5 0.711 0.289 0.000
F6 0.289 0.711 0.000

Computed properties:
N(E_F) = 4.812 states/eV per cell
VASP energy = -45.47 eV/cell
Magnetic moment = 0.00 μB per cell

Record 4
# LaNdSm3

A relaxed structure of LaNdSm3 (GGA-PBE, Alexandria).

abc: 3.670 10.351 18.309
angles: 90.00 90.00 90.00
Fractional positions:
La1 0.250 0.875 0.550
La2 0.750 0.625 0.050
La3 0.750 0.125 0.450
La4 0.250 0.375 0.950
Nd1 0.750 0.623 0.651
Nd2 0.250 0.877 0.151
Nd3 0.250 0.377 0.349
Nd4 0.750 0.123 0.849
Sm1 0.250 0.875 0.750
Sm2 0.750 0.625 0.250
Sm3 0.750 0.125 0.250
Sm4 0.250 0.375 0.750
Sm5 0.750 0.126 0.651
Sm6 0.250 0.374 0.151
Sm7 0.250 0.874 0.349
Sm8 0.750 0.626 0.849
Sm9 0.750 0.624 0.449
Sm10 0.250 0.876 0.949
Sm11 0.250 0.376 0.551
Sm12 0.750 0.124 0.051

Computed properties:
N(E_F) = 29.410 states/eV per cell
Energy relative to the lowest polymorph listed for this composition = 0.00 eV/f.u.
Magnetic moment = 0.00 μB per cell
E_form = 0.07 eV/f.u.

Record 5
# Nd2Ni3AgGe4

A relaxed structure of Nd2Ni3AgGe4 (GGA-PBE, Alexandria).

abc: 4.225 4.225 9.940
angles: 90.00 90.00 90.00
Fractional positions:
Nd1 0.500 0.000 0.243
Nd2 0.000 0.500 0.757
Ni1 0.000 0.000 0.500
Ni2 0.500 0.000 0.884
Ni3 0.000 0.500 0.116
Ag1 0.500 0.500 0.500
Ge1 0.500 0.500 0.000
Ge2 0.000 0.000 0.000
Ge3 0.500 0.000 0.646
Ge4 0.000 0.500 0.354

Computed properties:
N(E_F) = 5.502 states/eV per cell
Magnetic moment = 0.00 μB per cell
E_form = -6.08 eV/f.u.

Record 6
# MgGa2Fe

A relaxed structure of MgGa2Fe (GGA-PBE, Alexandria).

abc: 4.080 4.080 5.305
angles: 67.39 67.39 60.00
Last column: magnetic moment on the atom in μB.
Fractional positions:
Mg1 0.491 0.491 0.526  -0.02
Ga1 0.050 0.050 0.851  -0.04
Ga2 0.280 0.280 0.160  -0.03
Fe1 0.679 0.679 0.963  1.23

Computed properties:
N(E_F) = 3.880 states/eV per cell
Magnetic moment = 1.07 μB per cell
E_form = 0.07 eV/f.u.

Record 7
# ScRh4O2

A relaxed structure of ScRh4O2 (GGA-PBE, Alexandria).

abc: 4.544 4.544 6.542
angles: 69.68 69.68 90.00
Fractional positions:
Sc1 0.000 0.000 0.000
Rh1 0.762 0.762 0.477
Rh2 0.238 0.238 0.523
Rh3 0.000 0.500 0.000
Rh4 0.500 0.000 0.000
O1 0.597 0.597 0.806
O2 0.403 0.403 0.194

Computed properties:
N(E_F) = 9.079 states/eV per cell
VASP energy = -39.99 eV/cell
Magnetic moment = 0.00 μB per cell

Record 8
# TlTcH2

A relaxed structure of TlTcH2 (GGA-PBE, Alexandria).

abc: 3.983 3.983 3.983
angles: 60.00 60.00 60.00
Fractional positions:
H1 0.250 0.250 0.250
H2 0.750 0.750 0.750
Tl1 0.500 0.500 0.500
Tc1 0.000 0.000 0.000

Computed properties:
N(E_F) = 2.125 states/eV per cell
Energy relative to the lowest polymorph listed for this composition = 2.94 eV/f.u.
Magnetic moment = 0.00 μB per cell

Record 9
# Er2GaGe2Ru5

A relaxed structure of Er2GaGe2Ru5 (GGA-PBE, Alexandria).

abc: 3.328 9.963 9.963
angles: 90.00 90.00 90.00
Fractional positions:
Er1 0.000 0.671 0.171
Er2 0.000 0.329 0.829
Er3 0.000 0.171 0.329
Er4 0.000 0.829 0.671
Ga1 0.000 0.000 0.000
Ga2 0.000 0.500 0.500
Ge1 0.000 0.130 0.630
Ge2 0.000 0.870 0.370
Ge3 0.000 0.630 0.870
Ge4 0.000 0.370 0.130
Ru1 0.500 0.201 0.063
Ru2 0.500 0.799 0.937
Ru3 0.500 0.063 0.799
Ru4 0.500 0.701 0.437
Ru5 0.500 0.937 0.201
Ru6 0.500 0.299 0.563
Ru7 0.500 0.563 0.701
Ru8 0.500 0.437 0.299
Ru9 0.500 0.500 0.000
Ru10 0.500 0.000 0.500

Computed properties:
N(E_F) = 21.596 states/eV per cell
Magnetic moment = 0.00 μB per cell
E_form = -4.50 eV/f.u.

Record 10
# RuF6

A relaxed structure of RuF6 (GGA-PBE, Alexandria).

abc: 4.825 5.178 5.178
angles: 120.00 90.00 90.00
Last column: magnetic moment on the atom in μB.
Fractional positions:
Ru1 0.000 0.000 0.000  1.33
F1 0.223 0.000 0.707  0.09
F2 0.777 0.000 0.293  0.09
F3 0.777 0.707 0.707  0.09
F4 0.223 0.707 0.000  0.09
F5 0.777 0.293 0.000  0.09
F6 0.223 0.293 0.293  0.09

Computed properties:
N(E_F) = 9.047 states/eV per cell
VASP energy = -31.35 eV/cell
Magnetic moment = 2.00 μB per cell

Record 11
# Os2PbBr

A relaxed structure of Os2PbBr (GGA-PBE, Alexandria).

abc: 3.129 3.129 9.021
angles: 90.00 90.00 121.74
Fractional positions:
Pb1 0.500 0.500 0.250
Os1 0.000 0.000 0.997
Os2 0.000 0.000 0.503
Br1 0.500 0.500 0.750

Computed properties:
N(E_F) = 3.778 states/eV per cell
Energy relative to the lowest polymorph listed for this composition = 3.84 eV/f.u.
Magnetic moment = 0.00 μB per cell

Record 12
# V3Fe7

A relaxed structure of V3Fe7 (GGA-PBE, Alexandria).

abc: 4.018 4.942 6.464
angles: 105.85 108.11 90.00
Last column: magnetic moment on the atom in μB.
Fractional positions:
V1 0.000 0.000 0.000  -0.84
V2 0.200 0.787 0.401  -0.75
V3 0.800 0.213 0.599  -0.75
Fe1 0.000 0.500 0.000  1.64
Fe2 0.200 0.292 0.400  1.59
Fe3 0.800 0.708 0.600  1.59
Fe4 0.399 0.103 0.798  1.56
Fe5 0.601 0.897 0.202  1.56
Fe6 0.401 0.602 0.801  2.45
Fe7 0.599 0.398 0.199  2.45

Computed properties:
N(E_F) = 6.254 states/eV per cell
Magnetic moment = 10.09 μB per cell
E_form = -1.21 eV/f.u.

> The lowest N(E_F) belongs to which entry?

Li4AcIr2

Repeat the first record exactly.
# BaGa2WBr

A relaxed structure of BaGa2WBr (GGA-PBE, Alexandria).

abc: 5.483 5.987 5.483
angles: 90.00 90.00 90.00
Last column: magnetic moment on the atom in μB.
Fractional positions:
Ga1 0.000 0.000 0.500  -0.04
Ga2 0.500 0.000 0.000  -0.04
Br1 0.000 0.000 0.000  0.01
Ba1 0.000 0.500 0.000  0.00
W1 0.500 0.500 0.500  3.19

Computed properties:
N(E_F) = 2.736 states/eV per cell
VASP energy = -17.13 eV/cell
Magnetic moment = 4.13 μB per cell

What did the fourth record say?
# LaNdSm3

A relaxed structure of LaNdSm3 (GGA-PBE, Alexandria).

abc: 3.670 10.351 18.309
angles: 90.00 90.00 90.00
Fractional positions:
La1 0.250 0.875 0.550
La2 0.750 0.625 0.050
La3 0.750 0.125 0.450
La4 0.250 0.375 0.950
Nd1 0.750 0.623 0.651
Nd2 0.250 0.877 0.151
Nd3 0.250 0.377 0.349
Nd4 0.750 0.123 0.849
Sm1 0.250 0.875 0.750
Sm2 0.750 0.625 0.250
Sm3 0.750 0.125 0.250
Sm4 0.250 0.375 0.750
Sm5 0.750 0.126 0.651
Sm6 0.250 0.374 0.151
Sm7 0.250 0.874 0.349
Sm8 0.750 0.626 0.849
Sm9 0.750 0.624 0.449
Sm10 0.250 0.876 0.949
Sm11 0.250 0.376 0.551
Sm12 0.750 0.124 0.051

Computed properties:
N(E_F) = 29.410 states/eV per cell
Energy relative to the lowest polymorph listed for this composition = 0.00 eV/f.u.
Magnetic moment = 0.00 μB per cell
E_form = 0.07 eV/f.u.

> What is the formula in the eighth record?

TlTcH2